(1)
First-principles (GGA-PBE) data for crystalline GdTh2Cu at its relaxed geometry, as listed in Alexandria via LeMat-Bulk.

Computed properties:
* polymorph energy (0 for the lowest one): 19.4 kJ/mol of atoms
* energy of formation: 0.220 eV per atom
* energy: -128.55 eV per cell
* calculated volume: 427 Å³/cell

a = 7.532 Å, b = 7.532 Å, c = 7.532 Å
α = 90.00°, β = 90.00°, γ = 90.00°
Space group Fm-3m (No. 225)
Asymmetric unit:
Gd 0.000 0.000 0.000 x4
Th 0.250 0.250 0.250 x8
Cu 0.000 0.000 0.500 x4

(2)
First-principles (GGA-PBE) data for crystalline GdThTlCu at its relaxed geometry, as listed in Alexandria via LeMat-Bulk.

Computed properties:
* energy of formation: -0.111 eV per atom
* energy: -113.63 eV per cell
* calculated volume: 418 Å³/cell

a = 7.478 Å, b = 7.478 Å, c = 7.478 Å
α = 90.00°, β = 90.00°, γ = 90.00°
Space group F-43m (No. 216)
Asymmetric unit:
Gd 0.000 0.000 0.000 x4
Th 0.000 0.000 0.500 x4
Tl 0.250 0.250 0.250 x4
Cu 0.250 0.250 0.750 x4

(3)
First-principles (GGA-PBE) data for crystalline GdThZnCu at its relaxed geometry, as listed in Alexandria via LeMat-Bulk.

Computed properties:
* energy of formation: -0.170 eV per atom
* energy: -110.21 eV per cell
* calculated volume: 372 Å³/cell

a = 7.195 Å, b = 7.195 Å, c = 7.195 Å
α = 90.00°, β = 90.00°, γ = 90.00°
Space group F-43m (No. 216)
Asymmetric unit:
Gd 0.000 0.000 0.000 x4
Th 0.000 0.000 0.500 x4
Zn 0.250 0.250 0.250 x4
Cu 0.250 0.250 0.750 x4

(4)
First-principles (GGA-PBE) data for crystalline Gd2TiCu at its relaxed geometry, as listed in Alexandria via LeMat-Bulk.

Computed properties:
* energy of formation: 0.045 eV per atom
* energy: -39.97 eV per cell
* calculated volume: 92 Å³/cell

a = 3.390 Å, b = 3.390 Å, c = 7.976 Å
α = 90.00°, β = 90.00°, γ = 90.00°
Space group P4/mmm (No. 123)
Asymmetric unit:
Gd 0.000 0.000 0.232 x2
Ti 0.500 0.500 0.500 x1
Cu 0.500 0.500 0.000 x1

(5)
First-principles (GGA-PBE) data for crystalline GdTiZnCu at its relaxed geometry, as listed in Alexandria via LeMat-Bulk.

Computed properties:
* energy of formation: -0.067 eV per atom
* energy: -110.46 eV per cell
* calculated volume: 302 Å³/cell

a = 6.713 Å, b = 6.713 Å, c = 6.713 Å
α = 90.00°, β = 90.00°, γ = 90.00°
Space group F-43m (No. 216)
Asymmetric unit:
Gd 0.000 0.000 0.000 x4
Ti 0.000 0.000 0.500 x4
Zn 0.250 0.250 0.750 x4
Cu 0.250 0.250 0.250 x4

(6)
First-principles (GGA-PBE) data for crystalline GdTlCu at its relaxed geometry, as listed in Alexandria via LeMat-Bulk.

Computed properties:
* energy of formation: -0.101 eV per atom
* energy: -41.69 eV per cell
* calculated volume: 137 Å³/cell

a = 3.463 Å, b = 3.463 Å, c = 11.449 Å
α = 90.00°, β = 90.00°, γ = 90.00°
Space group I4mm (No. 107)
Asymmetric unit:
Gd 0.000 0.000 0.000 x2
Tl 0.000 0.000 0.705 x2
Cu 0.000 0.000 0.346 x2

(7)
First-principles (GGA-PBE) data for crystalline GdTlCu at its relaxed geometry, as listed in Alexandria via LeMat-Bulk.

Computed properties:
* energy of formation: -0.239 eV per atom
* energy: -21.26 eV per cell
* calculated volume: 69 Å³/cell

a = 4.7118 Å, b = 4.7118 Å, c = 3.5766 Å
α = 90.00°, β = 90.00°, γ = 120.00°
Space group P-6m2 (No. 187)
Asymmetric unit:
Gd 0.0000 0.0000 0.0000 x1
Tl 0.6667 0.3333 0.5000 x1
Cu 0.3333 0.6667 0.5000 x1

(8)
First-principles (GGA-PBE) data for crystalline GdTl2Cu at its relaxed geometry, as listed in Alexandria via LeMat-Bulk.

Computed properties:
* polymorph energy (0 for the lowest one): 0.0 kJ/mol of atoms
* energy of formation: -0.076 eV per atom
* energy: -23.21 eV per cell
* calculated volume: 96 Å³/cell

a = 4.560 Å, b = 4.560 Å, c = 4.604 Å
α = 90.00°, β = 90.00°, γ = 90.00°
Space group P4/mmm (No. 123)
Asymmetric unit:
Gd 0.000 0.000 0.000 x1
Tl 0.000 0.500 0.500 x2
Cu 0.500 0.500 0.000 x1

(9)
First-principles (GGA-PBE) data for crystalline GdTl2Cu at its relaxed geometry, as listed in Alexandria via LeMat-Bulk.

Computed properties:
* polymorph energy (0 for the lowest one): 34.2 kJ/mol of atoms
* energy of formation: 0.279 eV per atom
* energy: -65.38 eV per cell
* calculated volume: 330 Å³/cell

a = 3.4997 Å, b = 3.4997 Å, c = 31.1470 Å
α = 90.00°, β = 90.00°, γ = 120.00°
Space group R-3m (No. 166, hexagonal axes)
Asymmetric unit:
Gd 0.0000 0.0000 0.0000 x3
Tl 0.0000 0.0000 0.1027 x6
Cu 0.0000 0.0000 0.5000 x3

(10)
First-principles (GGA-PBE) data for crystalline GdTlCu at its relaxed geometry, as listed in Alexandria via LeMat-Bulk.

Computed properties:
* energy of formation: -0.194 eV per atom
* energy: -84.50 eV per cell
* calculated volume: 293 Å³/cell

a = 6.643 Å, b = 6.643 Å, c = 6.643 Å
α = 90.00°, β = 90.00°, γ = 90.00°
Space group F-43m (No. 216)
Asymmetric unit:
Gd 0.000 0.000 0.000 x4
Tl 0.000 0.000 0.500 x4
Cu 0.250 0.250 0.250 x4

(11)
First-principles (GGA-PBE) data for crystalline GdTl2Cu at its relaxed geometry, as listed in Alexandria via LeMat-Bulk.

Computed properties:
* polymorph energy (0 for the lowest one): 4.0 kJ/mol of atoms
* energy of formation: -0.034 eV per atom
* energy: -23.05 eV per cell
* calculated volume: 93 Å³/cell

a = 3.508 Å, b = 3.508 Å, c = 7.561 Å
α = 90.00°, β = 90.00°, γ = 90.00°
Space group P4/mmm (No. 123)
Asymmetric unit:
Gd 0.000 0.000 0.000 x1
Tl 0.500 0.500 0.291 x2
Cu 0.000 0.000 0.500 x1

(12)
First-principles (GGA-PBE) data for crystalline GdTlZnCu at its relaxed geometry, as listed in Alexandria via LeMat-Bulk.

Computed properties:
* energy of formation: -0.173 eV per atom
* energy: -90.03 eV per cell
* calculated volume: 326 Å³/cell

a = 6.879 Å, b = 6.879 Å, c = 6.879 Å
α = 90.00°, β = 90.00°, γ = 90.00°
Space group F-43m (No. 216)
Asymmetric unit:
Gd 0.000 0.000 0.000 x4
Tl 0.000 0.000 0.500 x4
Zn 0.250 0.250 0.250 x4
Cu 0.250 0.250 0.750 x4

(13)
First-principles (GGA-PBE) data for crystalline GdTmCu at its relaxed geometry, as listed in Alexandria via LeMat-Bulk.

Computed properties:
* polymorph energy (0 for the lowest one): 18.5 kJ/mol of atoms
* energy of formation: 0.047 eV per atom
* energy: -90.04 eV per cell
* calculated volume: 319 Å³/cell

a = 6.836 Å, b = 6.836 Å, c = 6.836 Å
α = 90.00°, β = 90.00°, γ = 90.00°
Space group F-43m (No. 216)
Asymmetric unit:
Gd 0.000 0.000 0.000 x4
Tm 0.000 0.000 0.500 x4
Cu 0.250 0.250 0.750 x4

(14)
First-principles (GGA-PBE) data for crystalline Gd2TmCu at its relaxed geometry, as listed in Alexandria via LeMat-Bulk.

Computed properties:
* polymorph energy (0 for the lowest one): 0.0 kJ/mol of atoms
* energy of formation: -0.072 eV per atom
* energy: -37.02 eV per cell
* calculated volume: 106 Å³/cell

a = 3.524 Å, b = 3.524 Å, c = 8.572 Å
α = 90.00°, β = 90.00°, γ = 90.00°
Space group P4/mmm (No. 123)
Asymmetric unit:
Gd 0.000 0.000 0.203 x2
Tm 0.500 0.500 0.500 x1
Cu 0.500 0.500 0.000 x1

(15)
First-principles (GGA-PBE) data for crystalline GdTmCu2 at its relaxed geometry, as listed in Alexandria via LeMat-Bulk.

Computed properties:
* polymorph energy (0 for the lowest one): 0.0 kJ/mol of atoms
* energy of formation: -0.253 eV per atom
* energy: -27.76 eV per cell
* calculated volume: 83 Å³/cell

a = 3.440 Å, b = 3.440 Å, c = 7.000 Å
α = 90.00°, β = 90.00°, γ = 90.00°
Space group P4/mmm (No. 123)
Asymmetric unit:
Gd 0.000 0.000 0.000 x1
Tm 0.000 0.000 0.500 x1
Cu 0.500 0.500 0.267 x2

(16)
First-principles (GGA-PBE) data for crystalline GdTmCu at its relaxed geometry, as listed in Alexandria via LeMat-Bulk.

Computed properties:
* polymorph energy (0 for the lowest one): 0.0 kJ/mol of atoms
* energy of formation: -0.145 eV per atom
* energy: -46.17 eV per cell
* calculated volume: 148 Å³/cell

a = 3.480 Å, b = 3.480 Å, c = 12.188 Å
α = 90.00°, β = 90.00°, γ = 90.00°
Space group I4mm (No. 107)
Asymmetric unit:
Gd 0.000 0.000 0.000 x2
Tm 0.000 0.000 0.279 x2
Cu 0.000 0.000 0.651 x2

(17)
First-principles (GGA-PBE) data for crystalline GdTmCu2 at its relaxed geometry, as listed in Alexandria via LeMat-Bulk.

Computed properties:
* polymorph energy (0 for the lowest one): 0.8 kJ/mol of atoms
* energy of formation: -0.245 eV per atom
* energy: -110.90 eV per cell
* calculated volume: 333 Å³/cell

a = 6.931 Å, b = 6.931 Å, c = 6.931 Å
α = 90.00°, β = 90.00°, γ = 90.00°
Space group Fm-3m (No. 225)
Asymmetric unit:
Gd 0.000 0.000 0.000 x4
Tm 0.000 0.000 0.500 x4
Cu 0.250 0.250 0.250 x8

(18)
First-principles (GGA-PBE) data for crystalline Gd2TmCu at its relaxed geometry, as listed in Alexandria via LeMat-Bulk.

Computed properties:
* polymorph energy (0 for the lowest one): 47.2 kJ/mol of atoms
* energy of formation: 0.417 eV per atom
* energy: -105.19 eV per cell
* calculated volume: 344 Å³/cell

a = 3.4344 Å, b = 3.4344 Å, c = 33.6668 Å
α = 90.00°, β = 90.00°, γ = 120.00°
Space group R-3m (No. 166, hexagonal axes)
Asymmetric unit:
Gd 0.0000 0.0000 0.0827 x6
Tm 0.0000 0.0000 0.5000 x3
Cu 0.0000 0.0000 0.0000 x3

(19)
First-principles (GGA-PBE) data for crystalline GdTmCu4 at its relaxed geometry, as listed in Alexandria via LeMat-Bulk.

Computed properties:
* energy of formation: -0.174 eV per atom
* energy: -143.91 eV per cell
* calculated volume: 410 Å³/cell

a = 7.429 Å, b = 7.429 Å, c = 7.429 Å
α = 90.00°, β = 90.00°, γ = 90.00°
Space group F-43m (No. 216)
Asymmetric unit:
Gd 0.000 0.000 0.000 x4
Tm 0.250 0.250 0.250 x4
Cu 0.124 0.124 0.624 x16

(20)
First-principles (GGA-PBE) data for crystalline GdVCu4 at its relaxed geometry, as listed in Alexandria via LeMat-Bulk.

Computed properties:
* energy of formation: 0.044 eV per atom
* energy: -157.28 eV per cell
* calculated volume: 370 Å³/cell

a = 7.178 Å, b = 7.178 Å, c = 7.178 Å
α = 90.00°, β = 90.00°, γ = 90.00°
Space group F-43m (No. 216)
Asymmetric unit:
Gd 0.000 0.000 0.000 x4
V 0.250 0.250 0.250 x4
Cu 0.124 0.124 0.624 x16

(21)
First-principles (GGA-PBE) data for crystalline Gd2YCu at its relaxed geometry, as listed in Alexandria via LeMat-Bulk.

Computed properties:
* polymorph energy (0 for the lowest one): 11.7 kJ/mol of atoms
* energy of formation: 0.044 eV per atom
* energy: -115.64 eV per cell
* calculated volume: 341 Å³/cell

a = 3.6254 Å, b = 3.6254 Å, c = 29.9440 Å
α = 90.00°, β = 90.00°, γ = 120.00°
Space group R-3m (No. 166, hexagonal axes)
Asymmetric unit:
Gd 0.0000 0.0000 0.2350 x6
Y 0.0000 0.0000 0.0000 x3
Cu 0.0000 0.0000 0.5000 x3

(22)
First-principles (GGA-PBE) data for crystalline Gd2YCu at its relaxed geometry, as listed in Alexandria via LeMat-Bulk.

Computed properties:
* polymorph energy (0 for the lowest one): 0.0 kJ/mol of atoms
* energy of formation: -0.078 eV per atom
* energy: -39.03 eV per cell
* calculated volume: 109 Å³/cell

a = 3.541 Å, b = 3.541 Å, c = 8.693 Å
α = 90.00°, β = 90.00°, γ = 90.00°
Space group P4/mmm (No. 123)
Asymmetric unit:
Gd 0.000 0.000 0.198 x2
Y 0.500 0.500 0.500 x1
Cu 0.500 0.500 0.000 x1

(23)
First-principles (GGA-PBE) data for crystalline GdYCu2 at its relaxed geometry, as listed in Alexandria via LeMat-Bulk.

Computed properties:
* polymorph energy (0 for the lowest one): 0.0 kJ/mol of atoms
* energy of formation: -0.230 eV per atom
* energy: -29.66 eV per cell
* calculated volume: 85 Å³/cell

a = 4.955 Å, b = 4.955 Å, c = 3.480 Å
α = 90.00°, β = 90.00°, γ = 90.00°
Space group P4/mmm (No. 123)
Asymmetric unit:
Gd 0.000 0.000 0.000 x1
Y 0.500 0.500 0.000 x1
Cu 0.000 0.500 0.500 x2

(24)
First-principles (GGA-PBE) data for crystalline GdY2Cu at its relaxed geometry, as listed in Alexandria via LeMat-Bulk.

Computed properties:
* polymorph energy (0 for the lowest one): 0.0 kJ/mol of atoms
* energy of formation: -0.086 eV per atom
* energy: -31.45 eV per cell
* calculated volume: 108 Å³/cell

a = 3.511 Å, b = 3.511 Å, c = 8.775 Å
α = 90.00°, β = 90.00°, γ = 90.00°
Space group P4/mmm (No. 123)
Asymmetric unit:
Gd 0.000 0.000 0.000 x1
Y 0.500 0.500 0.305 x2
Cu 0.000 0.000 0.500 x1

(25)
First-principles (GGA-PBE) data for crystalline GdY2Cu at its relaxed geometry, as listed in Alexandria via LeMat-Bulk.

Computed properties:
* polymorph energy (0 for the lowest one): 12.2 kJ/mol of atoms
* energy of formation: 0.040 eV per atom
* energy: -92.83 eV per cell
* calculated volume: 339 Å³/cell

a = 3.6256 Å, b = 3.6256 Å, c = 29.7983 Å
α = 90.00°, β = 90.00°, γ = 120.00°
Space group R-3m (No. 166, hexagonal axes)
Asymmetric unit:
Gd 0.0000 0.0000 0.0000 x3
Y 0.0000 0.0000 0.2336 x6
Cu 0.0000 0.0000 0.5000 x3

(26)
First-principles (GGA-PBE) data for crystalline GdYCu2 at its relaxed geometry, as listed in Alexandria via LeMat-Bulk.

Computed properties:
* polymorph energy (0 for the lowest one): 0.8 kJ/mol of atoms
* energy of formation: -0.222 eV per atom
* energy: -118.51 eV per cell
* calculated volume: 342 Å³/cell

a = 6.996 Å, b = 6.996 Å, c = 6.996 Å
α = 90.00°, β = 90.00°, γ = 90.00°
Space group Fm-3m (No. 225)
Asymmetric unit:
Gd 0.000 0.000 0.000 x4
Y 0.000 0.000 0.500 x4
Cu 0.250 0.250 0.250 x8

(27)
First-principles (GGA-PBE) data for crystalline GdZnCu at its relaxed geometry, as listed in Alexandria via LeMat-Bulk.

Computed properties:
* polymorph energy (0 for the lowest one): 0.0 kJ/mol of atoms
* energy of formation: -0.300 eV per atom
* energy: -20.35 eV per cell
* calculated volume: 60 Å³/cell

a = 4.3860 Å, b = 4.3860 Å, c = 3.5892 Å
α = 90.00°, β = 90.00°, γ = 120.00°
Space group P-6m2 (No. 187)
Asymmetric unit:
Gd 0.0000 0.0000 0.0000 x1
Zn 0.3333 0.6667 0.5000 x1
Cu 0.6667 0.3333 0.5000 x1

(28)
First-principles (GGA-PBE) data for crystalline GdZnCu at its relaxed geometry, as listed in Alexandria via LeMat-Bulk.

Computed properties:
* polymorph energy (0 for the lowest one): 12.0 kJ/mol of atoms
* energy of formation: -0.175 eV per atom
* energy: -39.95 eV per cell
* calculated volume: 115 Å³/cell

a = 3.354 Å, b = 3.354 Å, c = 10.239 Å
α = 90.00°, β = 90.00°, γ = 90.00°
Space group I4mm (No. 107)
Asymmetric unit:
Gd 0.000 0.000 0.000 x2
Zn 0.000 0.000 0.698 x2
Cu 0.000 0.000 0.308 x2

(29)
First-principles (GGA-PBE) data for crystalline GdZnCu at its relaxed geometry, as listed in Alexandria via LeMat-Bulk.

Computed properties:
* polymorph energy (0 for the lowest one): 16.9 kJ/mol of atoms
* energy of formation: -0.125 eV per atom
* energy: -79.30 eV per cell
* calculated volume: 262 Å³/cell

a = 6.396 Å, b = 6.396 Å, c = 6.396 Å
α = 90.00°, β = 90.00°, γ = 90.00°
Space group F-43m (No. 216)
Asymmetric unit:
Gd 0.000 0.000 0.000 x4
Zn 0.000 0.000 0.500 x4
Cu 0.250 0.250 0.250 x4

(30)
First-principles (GGA-PBE) data for crystalline GdZn4Cu at its relaxed geometry, as listed in Alexandria via LeMat-Bulk.

Computed properties:
* energy of formation: -0.104 eV per atom
* energy: -95.59 eV per cell
* calculated volume: 413 Å³/cell

a = 7.446 Å, b = 7.446 Å, c = 7.446 Å
α = 90.00°, β = 90.00°, γ = 90.00°
Space group F-43m (No. 216)
Asymmetric unit:
Gd 0.000 0.000 0.000 x4
Zn 0.125 0.125 0.375 x16
Cu 0.250 0.250 0.750 x4

(31)
First-principles (GGA-PBE) data for crystalline GdZrZnCu at its relaxed geometry, as listed in Alexandria via LeMat-Bulk.

Computed properties:
* energy of formation: -0.150 eV per atom
* energy: -114.40 eV per cell
* calculated volume: 324 Å³/cell

a = 6.868 Å, b = 6.868 Å, c = 6.868 Å
α = 90.00°, β = 90.00°, γ = 90.00°
Space group F-43m (No. 216)
Asymmetric unit:
Gd 0.000 0.000 0.000 x4
Zr 0.000 0.000 0.500 x4
Zn 0.250 0.250 0.750 x4
Cu 0.250 0.250 0.250 x4